This record from Alexandria via LeMat-Bulk describes a relaxed Sm2ThAg2Sn2 crystal. The functional is PBE.

Unit cell a=9.342 b=9.342 c=9.342 alpha=30.34 beta=30.34 gamma=30.34
Sites, in units of the cell vectors:
Sm: 0.132 0.132 0.132
Sm: 0.868 0.868 0.868
Th: 0.000 0.000 0.000
Ag: 0.425 0.425 0.425
Ag: 0.575 0.575 0.575
Sn: 0.266 0.266 0.266
Sn: 0.734 0.734 0.734

The calculation puts the magnetic moment at 0.00 Bohr magnetons per cell. Its calculated density is 8.88 g cm⁻³. For the formation energy, the calculation gives -0.334 eV/atom.